1.
A plane-wave DFT calculation with PBE was carried out for an optimized crystal structure of Cd5Ga12Au3.

a = 15.658 Å, b = 15.658 Å, c = 15.658 Å
α = 90.00°, β = 90.00°, γ = 90.00°
Space group Ia-3d (No. 230)
Inequivalent atoms, fractional coordinates:
Cd1 0.000 0.000 0.000
Cd2 0.000 0.250 0.375
Ga1 0.007 0.082 0.654
Au1 0.000 0.250 0.125

Output
Electronic total energy = -2.4539 eV/atom
Total moment = 0.0 μB per formula unit
Crystal system = cubic

=====

2.
A plane-wave DFT calculation with PBE was carried out for an optimized crystal structure of Sr3As4Pd.

a = 4.795 Å, b = 5.874 Å, c = 15.775 Å
α = 90.00°, β = 90.00°, γ = 90.00°
Space group Immm (No. 71)
Inequivalent atoms, fractional coordinates:
Sr1 0.000 0.000 0.000
Sr2 0.000 0.500 0.191
As1 0.000 0.284 0.380
Pd1 0.000 0.000 0.500

Output
Electronic total energy = -4.5092 eV/atom
Total moment = 0.0 μB per formula unit
Crystal system = orthorhombic

=====

| no. | density (kg/m3) | formation enthalpy at 0 K (eV/f.u.) |
| --- | --- | --- |
| 1 | 6886 | 1.65 |
| 2 | 5001 | -7.24 |